Entry 1:
# YZn3As

A relaxed YZn3As crystal (PBE, Alexandria via LeMat-Bulk).

POSCAR file:
```
YZn3As
1.0
4.856 0.000 0.000
0.000 4.856 0.000
0.000 0.000 4.856
Y Zn As
1 3 1
direct
0.000 0.000 0.000
0.000 0.500 0.500
0.500 0.000 0.500
0.500 0.500 0.000
0.500 0.500 0.500
```

## Properties
- polymorph energy (0 for the lowest one) (eV per atom) = 0.000
- energy (eV per cell) = -13.8
- size of the total moment (μB per atom) = 0.000
- N(E_F) (states/eV per atom) = 0.753
- formation energy (meV/atom) = 229



Entry 2:
# Pm2Ga3Ge2

A relaxed Pm2Ga3Ge2 crystal (PBE, Alexandria via LeMat-Bulk).

POSCAR file:
```
Pm2Ga3Ge2
1.0
4.203 0.000 0.000
0.000 4.086 0.000
-2.036 0.000 9.337
Pm Ga Ge
2 3 2
direct
0.142 0.000 0.279
0.858 0.000 0.721
0.000 0.500 0.000
0.282 0.500 0.565
0.718 0.500 0.435
0.413 0.500 0.829
0.587 0.500 0.171
```

## Properties
- energy (eV per cell) = -31.0
- size of the total moment (μB per atom) = 0.000
- N(E_F) (states/eV per atom) = 0.496
- formation energy (meV/atom) = -461



Entry 3:
# ScTc2Ir

A relaxed ScTc2Ir crystal (PBE, Alexandria via LeMat-Bulk).

POSCAR file:
```
ScTc2Ir
1.0
2.788 0.000 0.000
0.000 4.255 0.000
-1.328 0.000 5.269
Sc Tc Ir
1 2 1
direct
0.000 0.000 0.000
0.591 0.000 0.481
0.863 0.500 0.275
0.243 0.500 0.778
```

## Properties
- polymorph energy (0 for the lowest one) (eV per atom) = 0.064
- energy (eV per cell) = -36.4
- size of the total moment (μB per atom) = 0.000
- N(E_F) (states/eV per atom) = 0.965
- formation energy (meV/atom) = -129



Look up the size of the total moment of the first one.
0.000 μB per atom



Number 3 is which compound?
ScTc2Ir



What did the third record say?
# ScTc2Ir

A relaxed ScTc2Ir crystal (PBE, Alexandria via LeMat-Bulk).

POSCAR file:
```
ScTc2Ir
1.0
2.788 0.000 0.000
0.000 4.255 0.000
-1.328 0.000 5.269
Sc Tc Ir
1 2 1
direct
0.000 0.000 0.000
0.591 0.000 0.481
0.863 0.500 0.275
0.243 0.500 0.778
```

## Properties
- polymorph energy (0 for the lowest one) (eV per atom) = 0.064
- energy (eV per cell) = -36.4
- size of the total moment (μB per atom) = 0.000
- N(E_F) (states/eV per atom) = 0.965
- formation energy (meV/atom) = -129



size of the total moment of number 3 (ScTc2Ir)?
0.000 μB per atom